DFT (PBE) results for an optimized crystal structure of SrPrPd10.

Properties
Its calculated formation energy is -0.446 eV/atom.

abc: 4.4775 5.4144 9.3862
angles: 90.00 90.00 90.00
Last column: nearest neighbours and their distance in Å.
Space group Pmmm (No. 47)
Asymmetric unit:
1 Sr 0.0000 0.0000 0.0000 x1  10 Pd 3.15-3.51
2 Pr 0.0000 0.5000 0.5000 x1  6 Pd 3.08-3.11
3 Pd 0.0000 0.0000 0.3377 x2  6 Pd 2.71-2.74
4 Pd 0.0000 0.5000 0.1720 x2  6 Pd 2.72-2.76
5 Pd 0.5000 0.0000 0.5000 x1  8 Pd 2.69-2.71
6 Pd 0.5000 0.2517 0.2535 x4  8 Pd 2.69-2.74
7 Pd 0.5000 0.5000 0.0000 x1  8 Pd 2.73-2.76